## LiTl3 (meta-GGA SCAN)

Data for LiTl3 at its PBEsol-relaxed geometry.

abc: 3.446 3.446 9.785
angles: 90.00 90.00 120.00
Sites, in units of the cell vectors:
Tl  0.000  0.000  0.500
Tl  0.333  0.667  0.774
Tl  0.333  0.667  0.226
Li  0.000  0.000  0.000

Properties
Mass density ... 10.23 Mg/m³
Magnetic moment ... 0.0 Bohr magnetons per cell
Calculated total energy ... -219.83 eV/cell
Energy of formation ... -0.090 eV/atom